VASP calculation (PBE with a Hubbard U) on a relaxed Mg30CrCoO32 crystal.

a = 8.517 Å, b = 8.520 Å, c = 8.520 Å
α = 90.00°, β = 90.00°, γ = 90.00°
Site moments in Bohr magnetons follow the coordinates.
Element x y z (fractional)
O 0.750 0.000 0.500  0.00
Mg 0.000 0.245 0.755  0.00
Mg 0.500 0.249 0.751  0.00
Mg 0.752 0.753 0.000  0.00
O 0.751 0.251 0.749  0.00
Mg 0.749 0.500 0.247  0.00
Mg 0.752 0.247 0.000  0.00
Co 0.000 0.000 0.000  1.91
Cr 0.000 0.500 0.500  2.96
O 0.000 0.500 0.259  -0.01
Mg 0.000 0.755 0.245  0.00
Mg 0.500 0.751 0.249  0.00
Mg 0.500 0.000 0.500  0.00
O 0.500 0.253 0.000  0.00
O 0.250 0.500 0.000  0.00
O 0.000 0.736 0.000  0.01
Mg 0.000 0.755 0.755  0.00
Mg 0.752 0.000 0.247  0.00
Mg 0.500 0.500 0.500  0.00
Mg 0.500 0.249 0.249  0.00
O 0.757 0.500 0.500  -0.01
O 0.738 0.000 0.000  0.01
O 0.243 0.500 0.500  -0.01
O 0.500 0.000 0.253  0.00
O 0.249 0.749 0.749  0.00
Mg 0.749 0.500 0.753  0.00
O 0.250 0.000 0.500  0.00
Mg 0.248 0.000 0.247  0.00
Mg 0.500 0.500 0.000  0.00
Mg 0.251 0.247 0.500  0.00
Mg 0.251 0.500 0.753  0.00
Mg 0.248 0.247 0.000  0.00
Mg 0.251 0.753 0.500  0.00
Mg 0.248 0.753 0.000  0.00
O 0.500 0.500 0.747  0.00
O 0.751 0.251 0.251  0.00
Mg 0.500 0.000 0.000  0.00
O 0.500 0.747 0.000  0.00
Mg 0.251 0.500 0.247  0.00
O 0.249 0.749 0.251  0.00
O 0.500 0.000 0.747  0.00
O 0.249 0.251 0.749  0.00
O 0.000 0.000 0.736  0.01
O 0.249 0.251 0.251  0.00
Mg 0.752 0.000 0.753  0.00
Mg 0.749 0.247 0.500  0.00
Mg 0.248 0.000 0.753  0.00
O 0.000 0.000 0.264  0.01
O 0.000 0.500 0.741  -0.01
O 0.751 0.749 0.251  0.00
O 0.500 0.500 0.253  0.00
O 0.000 0.259 0.500  -0.01
Mg 0.749 0.753 0.500  0.00
O 0.000 0.741 0.500  -0.01
O 0.500 0.253 0.500  0.00
O 0.500 0.747 0.500  0.00
Mg 0.000 0.500 0.000  0.00
O 0.750 0.500 0.000  0.00
O 0.262 0.000 0.000  0.01
Mg 0.000 0.000 0.500  0.00
O 0.751 0.749 0.749  0.00
Mg 0.000 0.245 0.245  0.00
Mg 0.500 0.751 0.751  0.00
O 0.000 0.264 0.000  0.01

Results
Its total energy is -6.0316 eV per atom. As for the space-group type: P4/mmm.